1.
The following is a PBE calculation of a relaxed NaY2InRh crystal, from Alexandria.

Cell lengths 5.2802, 5.2802, 5.3251 Å; angles 90.00, 90.00, 90.00 degrees
Space group P4/mmm (No. 123)
One atom of each set of equivalent atoms:
Na1 0.0000 0.0000 0.0000 (multiplicity 1)
Y1 0.0000 0.5000 0.5000 (multiplicity 2)
In1 0.5000 0.5000 0.0000 (multiplicity 1)
Rh1 0.0000 0.0000 0.5000 (multiplicity 1)

Summary:
The spin magnetization comes out at 0.0 μB/cell. The crystal system is tetragonal. For the formation energy from the elements, the calculation gives -104 meV per atom.



2.
The following is a PBE calculation of a relaxed CoRe2Pd crystal, from Alexandria.

Cell lengths 6.9234, 6.9234, 5.0531 Å; angles 90.00, 90.00, 90.00 degrees
Space group I-42d (No. 122)
One atom of each set of equivalent atoms:
Co1 0.0000 0.0000 0.0000 (multiplicity 4)
Re1 0.2006 0.2500 0.1250 (multiplicity 8)
Pd1 0.0000 0.0000 0.5000 (multiplicity 4)

Summary:
The spin magnetization comes out at 0.0 μB/cell. The crystal system is tetragonal. For the formation energy from the elements, the calculation gives 716 meV per atom.



3.
The following is a PBE calculation of a relaxed TaP2Pb crystal, from Alexandria.

Cell lengths 8.4962, 3.3215, 5.8153 Å; angles 90.00, 97.27, 90.00 degrees
Space group C2/m (No. 12)
One atom of each set of equivalent atoms:
Ta1 0.0000 0.0000 0.0000 (multiplicity 2)
P1 0.2206 0.5000 0.1451 (multiplicity 4)
Pb1 0.0000 0.5000 0.5000 (multiplicity 2)

Summary:
The spin magnetization comes out at 0.0 μB/cell. The crystal system is monoclinic. For the formation energy from the elements, the calculation gives 10 meV per atom.



4.
The following is a PBE calculation of a relaxed Cd5Ir4 crystal, from Alexandria.

Cell lengths 8.7211, 8.7211, 4.1439 Å; angles 90.00, 90.00, 90.00 degrees
Space group I4/mmm (No. 139)
One atom of each set of equivalent atoms:
Cd1 0.0000 0.0000 0.0000 (multiplicity 2)
Cd2 0.1711 0.1711 0.5000 (multiplicity 8)
Ir1 0.0000 0.3501 0.0000 (multiplicity 8)

Summary:
The spin magnetization comes out at 0.0 μB/cell. The crystal system is tetragonal. For the formation energy from the elements, the calculation gives 161 meV per atom.



5.
The following is a PBE calculation of a relaxed HgPOs2 crystal, from Alexandria.

Cell lengths 5.7893, 8.7448, 2.9240 Å; angles 90.00, 119.90, 90.00 degrees
Space group C2/m (No. 12)
One atom of each set of equivalent atoms:
Hg1 0.0000 0.0000 0.0000 (multiplicity 2)
P1 0.0000 0.5000 0.0000 (multiplicity 2)
Os1 0.2500 0.2500 0.5000 (multiplicity 4)

Summary:
The spin magnetization comes out at 0.0 μB/cell. The crystal system is monoclinic. For the formation energy from the elements, the calculation gives 1029 meV per atom.



6.
The following is a PBE calculation of a relaxed SrCu2Ni crystal, from Alexandria.

Cell lengths 4.6132, 4.6132, 16.4614 Å; angles 90.00, 90.00, 90.00 degrees
Space group I4_1/amd (No. 141, origin choice 2)
One atom of each set of equivalent atoms:
Sr1 0.0000 0.2500 0.3750 (multiplicity 4)
Cu1 0.0000 0.0000 0.0000 (multiplicity 8)
Ni1 0.0000 0.2500 0.8750 (multiplicity 4)

Summary:
The spin magnetization comes out at 0.0 μB/cell. The crystal system is tetragonal. For the formation energy from the elements, the calculation gives 118 meV per atom.



7.
The following is a PBE calculation of a relaxed Rb4MgAu4 crystal, from Alexandria.

Cell lengths 7.1981, 7.1981, 14.3635 Å; angles 90.00, 90.00, 90.00 degrees
Space group I-42m (No. 121)
One atom of each set of equivalent atoms:
Rb1 0.2111 0.2111 0.3601 (multiplicity 8)
Mg1 0.0000 0.0000 0.0000 (multiplicity 2)
Au1 0.2129 0.2129 0.1113 (multiplicity 8)

Summary:
The spin magnetization comes out at 0.0 μB/cell. The crystal system is tetragonal. For the formation energy from the elements, the calculation gives -217 meV per atom.



8.
The following is a PBE calculation of a relaxed Pm3Ga3Rh2 crystal, from Alexandria.

Cell lengths 4.2909, 10.5701, 15.3473 Å; angles 90.00, 90.00, 90.00 degrees
Space group Cmcm (No. 63)
One atom of each set of equivalent atoms:
Pm1 0.0000 0.0691 0.1087 (multiplicity 8)
Pm2 0.0000 0.3466 0.2500 (multiplicity 4)
Ga1 0.0000 0.3563 0.0337 (multiplicity 8)
Ga2 0.0000 0.3603 0.7500 (multiplicity 4)
Rh1 0.0000 0.2141 0.6096 (multiplicity 8)

Summary:
The spin magnetization comes out at 0.0 μB/cell. The crystal system is orthorhombic. For the formation energy from the elements, the calculation gives -759 meV per atom.



9.
The following is a PBE calculation of a relaxed BePtRh2 crystal, from Alexandria.

Cell lengths 6.0326, 6.0326, 6.0326 Å; angles 90.00, 90.00, 90.00 degrees
Space group F-43m (No. 216)
One atom of each set of equivalent atoms:
Be1 0.0000 0.0000 0.0000 (multiplicity 4)
Pt1 0.2500 0.2500 0.2500 (multiplicity 4)
Rh1 0.0000 0.0000 0.5000 (multiplicity 4)
Rh2 0.2500 0.2500 0.7500 (multiplicity 4)

Summary:
The spin magnetization comes out at 7.1 μB/cell. The crystal system is cubic. For the formation energy from the elements, the calculation gives 17 meV per atom.



10.
The following is a PBE calculation of a relaxed HgSbF crystal, from Alexandria.

Cell lengths 5.1088, 5.5534, 5.7978 Å; angles 94.94, 92.00, 96.85 degrees
Space group P1 (No. 1)
One atom of each set of equivalent atoms:
Hg1 0.0000 0.0000 0.0000 (multiplicity 1)
Hg2 0.2765 0.1980 0.4013 (multiplicity 1)
Sb1 0.5812 0.3361 0.8196 (multiplicity 1)
Sb2 0.9452 0.6602 0.5930 (multiplicity 1)
F1 0.3243 0.5814 0.9053 (multiplicity 1)
F2 0.6563 0.7617 0.3893 (multiplicity 1)

Summary:
The spin magnetization comes out at 0.0 μB/cell. The uncorrected formation energy comes out at -2.47 eV per formula unit. The crystal system is triclinic.



11.
The following is a PBE calculation of a relaxed CsAg2SnS4 crystal, from Alexandria.

Cell lengths 6.9456, 6.9456, 8.9869 Å; angles 90.00, 90.00, 90.00 degrees
Space group I-42m (No. 121)
One atom of each set of equivalent atoms:
Cs1 0.0000 0.0000 0.0000 (multiplicity 2)
Ag1 0.0000 0.5000 0.2500 (multiplicity 4)
Sn1 0.0000 0.0000 0.5000 (multiplicity 2)
S1 0.1960 0.1960 0.3335 (multiplicity 8)

Summary:
The spin magnetization comes out at 0.0 μB/cell. The uncorrected formation energy comes out at -3.07 eV per formula unit. The crystal system is tetragonal.



12.
The following is a PBE calculation of a relaxed ThScZnIn crystal, from Alexandria.

Cell lengths 3.5153, 3.5153, 7.6593 Å; angles 90.00, 90.00, 90.00 degrees
Space group P4mm (No. 99)
One atom of each set of equivalent atoms:
Th1 0.0000 0.0000 0.0000 (multiplicity 1)
Sc1 0.0000 0.0000 0.5397 (multiplicity 1)
Zn1 0.5000 0.5000 0.7331 (multiplicity 1)
In1 0.5000 0.5000 0.3009 (multiplicity 1)

Summary:
The spin magnetization comes out at 0.0 μB/cell. The crystal system is tetragonal. For the formation energy from the elements, the calculation gives -316 meV per atom.